Entry from Alexandria: crystalline NaIn2Co2 at its relaxed geometry (GGA-PBE).

Values from the calculation:
**Relative energy among the computed polymorphs**: 0.013 eV per atom

Cell lengths 7.721, 7.721, 2.941 Å; angles 90.00, 90.00, 90.00 degrees
Positions (direct):
Na 0.000 0.000 0.000
Na 0.500 0.500 0.000
Co 0.391 0.891 0.000
Co 0.891 0.609 0.000
Co 0.609 0.109 0.000
Co 0.109 0.391 0.000
In 0.181 0.681 0.500
In 0.681 0.819 0.500
In 0.819 0.319 0.500
In 0.319 0.181 0.500